{"formula": "Zn2AgP", "functional": "GGA-PBE", "state": "optimized geometry", "cell": [[-6.197, -3.638, -4.327], [-4.583, -6.045, -3.580], [-6.583, -4.928, -1.654]], "species": ["Zn", "Zn", "P", "Ag"], "fractional_positions": [[0.254, 0.254, 0.254], [0.746, 0.746, 0.746], [0.000, 0.000, 0.000], [0.500, 0.500, 0.500]], "mass_density_g_cm3": 7.0, "delta_e_f_ev_per_atom": 0.175, "spacegroup": "R-3m, No. 166"}

=====

{"formula": "PmCuAu2", "functional": "GGA-PBE", "state": "optimized geometry", "cell": [[3.509, 0.000, 0.000], [0.000, 3.509, 0.000], [0.000, 0.000, 6.552]], "species": ["Pm", "Au", "Au", "Cu"], "fractional_positions": [[0.500, 0.500, 0.500], [0.000, 0.000, 0.787], [0.000, 0.000, 0.213], [0.500, 0.500, 0.000]], "mass_density_g_cm3": 12.4, "delta_e_f_ev_per_atom": -0.436, "spacegroup": "P4/mmm, No. 123", "relative_energy_ev_per_atom": 0.154}

=====

{"formula": "Tb6Pr2Sm3Th", "functional": "GGA-PBE", "state": "optimized geometry", "cell": [[6.261, 0.002, 0.012], [-3.127, 5.424, 0.012], [-1.064, -1.842, 11.684]], "species": ["Sm", "Sm", "Sm", "Tb", "Tb", "Tb", "Tb", "Tb", "Tb", "Pr", "Pr", "Th"], "fractional_positions": [[0.500, 0.500, 0.500], [0.833, 0.167, 0.500], [0.167, 0.833, 0.500], [0.245, 0.245, 0.750], [0.413, 0.084, 0.250], [0.084, 0.413, 0.250], [0.755, 0.755, 0.250], [0.587, 0.916, 0.750], [0.916, 0.587, 0.750], [0.667, 0.333, 0.000], [0.333, 0.667, 0.000], [0.000, 0.000, 0.000]], "mass_density_g_cm3": 8.0, "delta_e_f_ev_per_atom": 0.026, "spacegroup": "C2/m, No. 12"}

=====

{"formula": "CaCuCl2", "functional": "GGA-PBE", "state": "optimized geometry", "cell": [[5.015, 0.000, 0.000], [0.000, 5.015, 0.000], [2.508, 2.508, 8.070]], "species": ["Cu", "Cu", "Ca", "Ca", "Cl", "Cl", "Cl", "Cl"], "fractional_positions": [[0.000, 0.000, 0.000], [0.750, 0.250, 0.500], [0.500, 0.500, 0.000], [0.250, 0.750, 0.500], [0.106, 0.625, 0.250], [0.644, 0.125, 0.250], [0.375, 0.356, 0.750], [0.875, 0.894, 0.750]], "mass_density_g_cm3": 2.9, "raw_formation_energy_mev_per_atom": -937.3, "spacegroup": "I-42d, No. 122", "relative_energy_ev_per_atom": 0.144}

=====

{"formula": "Sm8Pb4CSe3", "functional": "GGA-PBE", "state": "optimized geometry", "cell": [[-6.041, 4.408, -3.033], [-4.571, -7.723, -2.120], [2.135, 0.872, 7.751]], "species": ["Sm", "Sm", "Sm", "Sm", "Sm", "Sm", "Sm", "Sm", "Pb", "Pb", "Pb", "Pb", "Se", "Se", "Se", "C"], "fractional_positions": [[0.783, 0.305, 0.566], [0.740, 0.717, 0.479], [0.238, 0.305, 0.021], [0.217, 0.695, 0.979], [0.260, 0.283, 0.521], [0.762, 0.695, 0.979], [0.783, 0.305, 0.021], [0.217, 0.695, 0.434], [0.500, 0.000, 0.500], [0.000, 0.000, 0.500], [0.500, 0.000, 0.000], [0.000, 0.000, 0.000], [0.000, 0.500, 0.500], [0.500, 0.500, 0.500], [0.500, 0.500, 0.000], [0.000, 0.500, 0.000]], "mass_density_g_cm3": 8.4, "raw_formation_energy_mev_per_atom": -947.7, "spacegroup": "C2/m, No. 12"}

=====

{"formula": "KAuCl", "functional": "GGA-PBE", "state": "optimized geometry", "cell": [[6.216, 0.000, 0.000], [0.000, 6.216, 0.000], [0.000, 0.000, 5.182]], "species": ["K", "K", "Cl", "Cl", "Au", "Au"], "fractional_positions": [[0.000, 0.000, 0.000], [0.500, 0.500, 0.000], [0.500, 0.000, 0.125], [0.000, 0.500, 0.875], [0.000, 0.500, 0.382], [0.500, 0.000, 0.618]], "mass_density_g_cm3": 4.5, "raw_formation_energy_mev_per_atom": -687.8, "spacegroup": "P4/nmm, No. 129", "relative_energy_ev_per_atom": 0.000}

=====

{"formula": "SrAlSe2", "functional": "GGA-PBE", "state": "optimized geometry", "cell": [[-2.757, -3.126, 0.044], [2.978, -2.643, -1.234], [1.458, -1.201, 6.088]], "species": ["Al", "Se", "Se", "Sr"], "fractional_positions": [[0.500, 0.500, 0.922], [0.500, 0.500, 0.314], [0.000, 0.000, 0.875], [0.000, 0.000, 0.389]], "mass_density_g_cm3": 4.1, "raw_formation_energy_mev_per_atom": -1121.5, "spacegroup": "P4mm, No. 99"}

=====

{"formula": "AcNd2Hg2", "functional": "GGA-PBE", "state": "optimized geometry", "cell": [[-1.757, 0.439, 5.065], [2.772, -4.561, 1.357], [9.024, 6.808, 2.539]], "species": ["Ac", "Ac", "Nd", "Nd", "Nd", "Nd", "Hg", "Hg", "Hg", "Hg"], "fractional_positions": [[0.250, 0.732, 0.239], [0.750, 0.268, 0.761], [0.750, 0.215, 0.120], [0.250, 0.251, 0.503], [0.250, 0.785, 0.880], [0.750, 0.749, 0.497], [0.750, 0.237, 0.376], [0.750, 0.703, 0.003], [0.250, 0.763, 0.624], [0.250, 0.297, 0.997]], "mass_density_g_cm3": 8.9, "delta_e_f_ev_per_atom": -0.301, "spacegroup": "P2_1/m, No. 11", "relative_energy_ev_per_atom": 0.000}

=====

{"formula": "Ac2PF", "functional": "GGA-PBE", "state": "optimized geometry", "cell": [[3.703, 0.000, 0.000], [0.000, 3.703, 0.000], [0.000, 0.000, 7.192]], "species": ["Ac", "Ac", "F", "P"], "fractional_positions": [[0.000, 0.000, 0.259], [0.000, 0.000, 0.741], [0.500, 0.500, 0.000], [0.500, 0.500, 0.500]], "mass_density_g_cm3": 8.5, "raw_formation_energy_mev_per_atom": -1551.1, "spacegroup": "P4/mmm, No. 123", "relative_energy_ev_per_atom": 0.404}

=====

{"formula": "CrPt2Cl", "functional": "GGA-PBE", "state": "optimized geometry", "cell": [[6.880, 0.035, -0.004], [4.956, 4.772, 0.004], [-5.534, -3.349, 2.344]], "species": ["Pt", "Pt", "Cl", "Cr"], "fractional_positions": [[0.714, 0.214, 0.500], [0.096, 0.096, 0.000], [0.418, 0.418, 0.000], [0.273, 0.773, 0.500]], "mass_density_g_cm3": 10.4, "raw_formation_energy_mev_per_atom": 79.4, "spacegroup": "Imm2, No. 44", "relative_energy_ev_per_atom": 0.099}

=====

In μB/f.u., the total magnetization values for the records above are, in order, 0.00 0.00 0.00 0.00 0.00 0.00 0.00 0.00 0.28 2.27.